Computed, not measured: a relaxed structure of SrVPO2 at the PBE+U level of DFT.

Unit cell a=4.3960 b=4.3960 c=6.0753 alpha=90.00 beta=90.00 gamma=90.00
Positions (direct):
Sr: 0.0000 0.0000 0.0000
V: 0.5000 0.5000 0.5000
P: 0.0000 0.0000 0.5000
O: 0.0000 0.5000 0.0000
O: 0.5000 0.0000 0.0000

Computed properties:
Uncorrected energy: -22.74 eV per cell
Size of the total moment: 3.358 μB per cell
SG: P4/mmm (123)
N(E_F): 3.6 states/eV/f.u.